Entry 1:
# NiBP2S (PBE, relaxed)
data_NiBP2S
_cell_length_a 4.510
_cell_length_b 4.510
_cell_length_c 3.568
_cell_angle_alpha 90.00
_cell_angle_beta 90.00
_cell_angle_gamma 90.00
_space_group_name_H-M_alt 'P 4/m m m'
_space_group_IT_number 123
_space_group_name_Hall '-P 4 2'
loop_
_atom_site_label
_atom_site_type_symbol
_atom_site_fract_x
_atom_site_fract_y
_atom_site_fract_z
Ni1 Ni 0.000 0.000 0.000
B1 B 0.500 0.500 0.000
P1 P 0.000 0.500 0.500
S1 S 0.500 0.500 0.500
# - total magnetic moment (μB per cell) = 0.0
# - uncorrected formation energy (eV/f.u.) = 6.1
# - polymorph energy (0 for the lowest one) (meV per atom) = 335
# - DOS at the Fermi energy (states/eV per cell) = 2.70

Entry 2:
# CaZr2AgOs (PBE, relaxed)
data_CaZr2AgOs
_cell_length_a 5.108
_cell_length_b 5.108
_cell_length_c 5.025
_cell_angle_alpha 90.00
_cell_angle_beta 90.00
_cell_angle_gamma 90.00
_space_group_name_H-M_alt 'P 4/m m m'
_space_group_IT_number 123
_space_group_name_Hall '-P 4 2'
loop_
_atom_site_label
_atom_site_type_symbol
_atom_site_fract_x
_atom_site_fract_y
_atom_site_fract_z
Ca1 Ca 0.000 0.000 0.000
Zr1 Zr 0.000 0.500 0.500
Ag1 Ag 0.500 0.500 0.500
Os1 Os 0.500 0.500 0.000
# - total magnetic moment (μB per cell) = 0.0
# - energy (eV/atom) = -5.446
# - DOS at the Fermi energy (states/eV per cell) = 6.40